Mo2PbSe, optimized geometry, DFT PBE-GGA; symmetry = Fm-3m (225); energy above the most stable polymorph in this dataset = 2.04 eV per formula unit; total DFT energy (no corrections) = -26.3 eV for the cell shown; ρ = 11.13 Mg/m³; V = 71.3 Å³ per cell; energy relative to the elements, uncorrected = 0.65 eV per atom
1.0
0.302 -3.694 -2.816
0.673 -4.243 1.791
-3.436 -3.139 -0.098
Pb Mo Se
1 2 1
Cartesian
-1.231 -5.538 -0.561 Pb
-0.615 -2.769 -0.281 Mo
-1.846 -8.308 -0.842 Mo
0.000 0.000 0.000 Se